Compound: NpMnBeO6
Source: the Alexandria database
Functional: GGA+U
Structure: optimized geometry

Lattice parameters (Å, degrees): 4.998 4.998 8.968 90.00 90.00 120.00
Site moments in Bohr magnetons follow the coordinates.
Atoms (fractional coordinates):
Np (0.333, 0.667, 0.250)  0.34
Np (0.667, 0.333, 0.750)  0.34
Mn (0.000, 0.000, 0.000)  4.13
Mn (0.000, 0.000, 0.500)  4.13
Be (0.667, 0.333, 0.250)  0.01
Be (0.333, 0.667, 0.750)  0.01
O (0.669, 0.647, 0.134)  -0.09
O (0.978, 0.331, 0.134)  -0.09
O (0.331, 0.978, 0.634)  -0.09
O (0.022, 0.669, 0.866)  -0.09
O (0.353, 0.331, 0.366)  -0.09
O (0.978, 0.647, 0.366)  -0.09
O (0.647, 0.978, 0.866)  -0.09
O (0.669, 0.022, 0.366)  -0.09
O (0.022, 0.353, 0.634)  -0.09
O (0.353, 0.022, 0.134)  -0.09
O (0.647, 0.669, 0.634)  -0.09
O (0.331, 0.353, 0.866)  -0.09

The total energy comes out at -8.028 eV per atom.